No. 1
Entry from the Alexandria database: crystalline TlBiAu at its relaxed geometry (PBE).

a = 3.472 Å, b = 3.472 Å, c = 7.167 Å
α = 104.02°, β = 104.02°, γ = 90.00°
Positions (direct):
Tl 0.020 0.020 0.040
Bi 0.308 0.308 0.615
Au 0.672 0.672 0.345

Calculated values
Polymorph energy (0 for the lowest one): 61 meV/atom
Space group: I4mm, No. 107

***

No. 2
Entry from the Alexandria database: crystalline Pm6Pr5 at its relaxed geometry (PBE).

a = 5.743 Å, b = 10.179 Å, c = 9.596 Å
α = 122.03°, β = 107.41°, γ = 55.65°
Positions (direct):
Pr 0.500 0.200 0.400
Pm 0.205 0.659 0.727
Pr 0.000 0.660 0.320
Pr 0.000 0.340 0.680
Pr 0.500 0.800 0.600
Pr 0.500 0.500 0.000
Pm 0.295 0.205 0.000
Pm 0.705 0.795 0.000
Pm 0.795 0.068 0.727
Pm 0.795 0.341 0.273
Pm 0.205 0.932 0.273

Calculated values
Polymorph energy (0 for the lowest one): 0 meV/atom
Space group: Immm, No. 71

***

No. 3
Entry from the Alexandria database: crystalline Rb2Pb2Cl7 at its relaxed geometry (PBE).

a = 7.020 Å, b = 7.632 Å, c = 7.020 Å
α = 89.99°, β = 97.40°, γ = 90.01°
Positions (direct):
Rb 0.763 0.500 0.763
Pb 0.723 0.000 0.277
Cl 0.500 0.236 0.000
Cl 0.500 0.764 0.000
Cl 0.500 0.779 0.500
Cl 0.000 0.236 0.500
Cl 0.000 0.000 0.000
Cl 0.500 0.221 0.500
Rb 0.237 0.500 0.237
Cl 0.000 0.764 0.500
Pb 0.277 0.000 0.723

Calculated values
Formation energy from raw total energies: -1358 kJ/mol of formula units
Space group: Cmmm, No. 65

***

No. 4
Entry from the Alexandria database: crystalline Pu2BeAgAu6 at its relaxed geometry (PBE).

a = 6.263 Å, b = 7.908 Å, c = 5.723 Å
α = 69.22°, β = 56.90°, γ = 89.94°
Positions (direct):
Au 0.190 0.129 0.173
Pu 0.739 0.285 0.519
Au 0.810 0.871 0.827
Au 0.185 0.309 0.627
Au 0.636 0.128 0.173
Ag 0.500 0.500 0.000
Au 0.815 0.691 0.373
Au 0.364 0.872 0.827
Pu 0.261 0.715 0.481
Be 0.000 0.000 0.000

Calculated values
Space group: P-1, No. 2

***

No. 5
Entry from the Alexandria database: crystalline AlSb2Pb at its relaxed geometry (PBE).

a = 10.932 Å, b = 10.932 Å, c = 10.932 Å
α = 17.71°, β = 17.71°, γ = 17.71°
Positions (direct):
Pb 0.757 0.757 0.757
Sb 0.241 0.241 0.241
Al 0.503 0.503 0.503
Sb 0.999 0.999 0.999

Calculated values
Formation energy from raw total energies: 96 kJ/mol of formula units
Polymorph energy (0 for the lowest one): 206 meV/atom
Space group: R3m, No. 160

***

No. 6
Entry from the Alexandria database: crystalline TcGeTe2O at its relaxed geometry (PBE).

a = 5.441 Å, b = 3.717 Å, c = 5.441 Å
α = 90.00°, β = 90.00°, γ = 90.00°
Positions (direct):
Te 0.000 0.000 0.500
O 0.000 0.500 0.000
Ge 0.500 0.500 0.500
Tc 0.000 0.000 0.000
Te 0.500 0.000 0.000

Calculated values
Formation energy from raw total energies: -100 kJ/mol of formula units
Space group: P4/mmm, No. 123

***

No. 7
Entry from the Alexandria database: crystalline Pm3Ge6PdRh2 at its relaxed geometry (PBE).

a = 5.632 Å, b = 5.632 Å, c = 9.074 Å
α = 90.00°, β = 90.00°, γ = 120.00°
Positions (direct):
Pm 0.000 0.000 0.000
Ge 0.344 0.172 0.725
Ge 0.828 0.656 0.725
Rh 0.333 0.667 0.060
Ge 0.828 0.172 0.725
Pm 0.333 0.667 0.586
Pm 0.667 0.333 0.414
Ge 0.172 0.344 0.275
Rh 0.667 0.333 0.940
Pd 0.000 0.000 0.500
Ge 0.656 0.828 0.275
Ge 0.172 0.828 0.275

Calculated values
Space group: P-3m1, No. 164

***

No. 8
Entry from the Alexandria database: crystalline Dy6Tl2Pb at its relaxed geometry (PBE).

a = 5.182 Å, b = 7.337 Å, c = 8.975 Å
α = 114.13°, β = 106.79°, γ = 90.00°
Positions (direct):
Tl 0.667 0.667 0.334
Dy 0.500 0.255 0.000
Tl 0.333 0.333 0.666
Dy 0.168 0.421 0.337
Dy 0.168 0.916 0.337
Dy 0.832 0.084 0.663
Pb 0.000 0.000 0.000
Dy 0.500 0.745 0.000
Dy 0.832 0.579 0.663

Calculated values
Space group: Immm, No. 71

***

No. 9
Entry from the Alexandria database: crystalline Tb6Cd3Ru at its relaxed geometry (PBE).

a = 5.312 Å, b = 9.125 Å, c = 11.438 Å
α = 108.46°, β = 90.00°, γ = 90.00°
Positions (direct):
Cd 0.250 0.507 0.369
Tb 0.250 0.690 0.663
Cd 0.250 0.771 0.972
Ru 0.750 0.037 0.406
Tb 0.250 0.122 0.154
Tb 0.250 0.849 0.332
Tb 0.250 0.465 0.085
Cd 0.750 0.229 0.028
Ru 0.250 0.963 0.594
Cd 0.750 0.583 0.219
Tb 0.750 0.891 0.150
Tb 0.750 0.878 0.846
Cd 0.250 0.417 0.781
Tb 0.750 0.780 0.502
Tb 0.750 0.310 0.337
Tb 0.250 0.109 0.850
Cd 0.750 0.493 0.631
Tb 0.750 0.151 0.668
Tb 0.250 0.220 0.498
Tb 0.750 0.535 0.915

Calculated values
Space group: P2_1/m, No. 11

***

No. 10
Entry from the Alexandria database: crystalline BaLaAgGe at its relaxed geometry (PBE).

a = 5.544 Å, b = 5.544 Å, c = 5.544 Å
α = 60.00°, β = 60.00°, γ = 60.00°
Positions (direct):
La 0.000 0.000 0.000
Ba 0.500 0.500 0.500
Ge 0.250 0.250 0.250
Ag 0.750 0.750 0.750

Calculated values
Space group: F-43m, No. 216

***

No. 11
Entry from the Alexandria database: crystalline BeCoBi2Te at its relaxed geometry (PBE).

a = 4.960 Å, b = 4.958 Å, c = 4.960 Å
α = 90.00°, β = 90.00°, γ = 90.00°
Positions (direct):
Bi 0.500 0.000 0.000
Co 0.500 0.500 0.500
Te 0.000 0.500 0.000
Bi 0.000 0.000 0.500
Be 0.000 0.000 0.000

Calculated values
Formation energy from raw total energies: 480 kJ/mol of formula units
Space group: P4/mmm, No. 123

***

No. 12
Entry from the Alexandria database: crystalline Nd2SmMg8 at its relaxed geometry (PBE).

a = 5.270 Å, b = 7.418 Å, c = 8.916 Å
α = 114.58°, β = 107.19°, γ = 90.00°
Positions (direct):
Mg 0.160 0.160 0.319
Mg 0.000 0.716 0.000
Nd 0.803 0.303 0.606
Mg 0.644 0.432 0.288
Mg 0.840 0.840 0.681
Mg 0.356 0.568 0.712
Mg 0.000 0.284 0.000
Nd 0.197 0.697 0.394
Mg 0.356 0.144 0.712
Sm 0.500 0.000 0.000
Mg 0.644 0.856 0.288

Calculated values
Space group: Immm, No. 71

***

DFT total energy
In order: -3.141; -4.659; -3.305; -5.669; -3.674; -5.452; -5.571; -4.102; -4.242; -3.987; -3.353; -2.434
Unit: eV/atom
DOS(E_F)
In order: 1.66; 16.44; 7.33; 33.80; 2.39; 3.28; 5.02; 10.85; 15.94; 1.49; 7.62; 7.74
Unit: states/eV/cell